A:
# BeSi

A relaxed structure of BeSi (PBE-GGA, the Alexandria database).

space group = Fm-3m

```
data_BeSi
_chemical_formula_sum 'Be4 Si4'
_cell_length_a 4.7028
_cell_length_b 4.7028
_cell_length_c 4.7028
_cell_angle_alpha 90.00
_cell_angle_beta 90.00
_cell_angle_gamma 90.00
_symmetry_space_group_name_H-M 'P 1'
_symmetry_Int_Tables_number 1
_symmetry_space_group_name_Hall 'P 1'
loop_
_atom_site_label
_atom_site_type_symbol
_atom_site_fract_x
_atom_site_fract_y
_atom_site_fract_z
Be1 Be 0.5000 0.0000 0.5000
Si1 Si 0.0000 0.0000 0.5000
Si2 Si 0.0000 0.5000 0.0000
Si3 Si 0.5000 0.5000 0.5000
Si4 Si 0.5000 0.0000 0.0000
Be2 Be 0.5000 0.5000 0.0000
Be3 Be 0.0000 0.0000 0.0000
Be4 Be 0.0000 0.5000 0.5000
```

=====

B:
# BeSi

A relaxed structure of BeSi (PBE-GGA, the Alexandria database).

space group = Cmme

```
data_BeSi
_chemical_formula_sum 'Be2 Si2'
_cell_length_a 2.5966
_cell_length_b 2.5966
_cell_length_c 8.4657
_cell_angle_alpha 90.00
_cell_angle_beta 90.00
_cell_angle_gamma 123.73
_symmetry_space_group_name_H-M 'P 1'
_symmetry_Int_Tables_number 1
_symmetry_space_group_name_Hall 'P 1'
loop_
_atom_site_label
_atom_site_type_symbol
_atom_site_fract_x
_atom_site_fract_y
_atom_site_fract_z
Be1 Be 0.0000 0.0000 0.9828
Si1 Si 0.0000 0.0000 0.5244
Be2 Be 0.5000 0.5000 0.7672
Si2 Si 0.5000 0.5000 0.2256
```

=====

Stability summary - winner: B; margin: 137 meV/atom.

=====

A:
# BeSi

A relaxed structure of BeSi (PBE-GGA, the Alexandria database).

space group = Pmmn

```
data_BeSi
_chemical_formula_sum 'Be2 Si2'
_cell_length_a 2.3849
_cell_length_b 3.4393
_cell_length_c 5.7966
_cell_angle_alpha 90.00
_cell_angle_beta 90.00
_cell_angle_gamma 90.00
_symmetry_space_group_name_H-M 'P 1'
_symmetry_Int_Tables_number 1
_symmetry_space_group_name_Hall 'P 1'
loop_
_atom_site_label
_atom_site_type_symbol
_atom_site_fract_x
_atom_site_fract_y
_atom_site_fract_z
Si1 Si 0.0000 0.0000 0.5599
Si2 Si 0.5000 0.5000 0.1901
Be1 Be 0.0000 0.0000 0.9725
Be2 Be 0.5000 0.5000 0.7775
```

=====

B:
# BeSi

A relaxed structure of BeSi (PBE-GGA, the Alexandria database).

space group = Pm-3n

```
data_BeSi
_chemical_formula_sum 'Be6 Si6'
_cell_length_a 6.3010
_cell_length_b 6.3010
_cell_length_c 6.3010
_cell_angle_alpha 90.00
_cell_angle_beta 90.00
_cell_angle_gamma 90.00
_symmetry_space_group_name_H-M 'P 1'
_symmetry_Int_Tables_number 1
_symmetry_space_group_name_Hall 'P 1'
loop_
_atom_site_label
_atom_site_type_symbol
_atom_site_fract_x
_atom_site_fract_y
_atom_site_fract_z
Si1 Si 0.7500 0.0000 0.5000
Si2 Si 0.5000 0.7500 0.0000
Be1 Be 0.0000 0.2500 0.5000
Si3 Si 0.0000 0.5000 0.7500
Be2 Be 0.2500 0.5000 0.0000
Si4 Si 0.0000 0.5000 0.2500
Be3 Be 0.5000 0.0000 0.7500
Si5 Si 0.5000 0.2500 0.0000
Be4 Be 0.5000 0.0000 0.2500
Be5 Be 0.0000 0.7500 0.5000
Be6 Be 0.7500 0.5000 0.0000
Si6 Si 0.2500 0.0000 0.5000
```

=====

C:
# BeSi

A relaxed structure of BeSi (PBE-GGA, the Alexandria database).

space group = P1

```
data_BeSi
_chemical_formula_sum 'Be1 Si1'
_cell_length_a 2.6266
_cell_length_b 4.5833
_cell_length_c 2.6261
_cell_angle_alpha 106.87
_cell_angle_beta 90.72
_cell_angle_gamma 54.18
_symmetry_space_group_name_H-M 'P 1'
_symmetry_Int_Tables_number 1
_symmetry_space_group_name_Hall 'P 1'
loop_
_atom_site_label
_atom_site_type_symbol
_atom_site_fract_x
_atom_site_fract_y
_atom_site_fract_z
Be1 Be 0.8734 0.5874 0.1799
Si1 Si 0.9378 0.0252 0.8964
```

=====

Stability summary - winner: A; margin: 6 meV/atom.